Density functional theory data (GGA-PBE) for a geometry-optimized Sc2InSb structure.

Output
- Crystal system: orthorhombic
- Energy relative to the lowest polymorph listed for this composition: 126.0 meV per atom

a = 4.5210 Å, b = 4.9059 Å, c = 8.3676 Å
α = 90.00°, β = 90.00°, γ = 90.00°
Element x y z (fractional)
Sc  0.0000  0.0000  0.2434
Sc  0.0000  0.0000  0.7566
Sc  0.5000  0.5000  0.2434
Sc  0.5000  0.5000  0.7566
In  0.0000  0.5000  0.5000
In  0.5000  0.0000  0.5000
Sb  0.0000  0.5000  0.0000
Sb  0.5000  0.0000  0.0000

***

Density functional theory data (GGA-PBE) for a geometry-optimized PuBrN structure.

Output
- Total energy: -9.331 eV/atom
- Crystal system: orthorhombic

a = 10.4184 Å, b = 4.0691 Å, c = 6.8134 Å
α = 90.00°, β = 90.00°, γ = 90.00°
Element x y z (fractional)
Pu  0.0597  0.2500  0.1831
Pu  0.4403  0.7500  0.6831
Pu  0.5597  0.2500  0.3169
Pu  0.9403  0.7500  0.8169
Br  0.1671  0.7500  0.5468
Br  0.3329  0.2500  0.0468
Br  0.6671  0.7500  0.9532
Br  0.8329  0.2500  0.4532
N  0.0348  0.7500  0.1052
N  0.4652  0.2500  0.6052
N  0.5348  0.7500  0.3948
N  0.9652  0.2500  0.8948

***

no.,DOS at the Fermi energy (states/eV/f.u.)
1,3.84
2,9.37